Record 1
# ZrZn2Pt

An optimized crystal structure of ZrZn2Pt (PBE-GGA, OQMD).

abc: 4.535 4.535 4.535
angles: 60.00 60.00 60.00
Sites, in units of the cell vectors:
Pt: 0.750 0.750 0.750
Zr: 0.500 0.500 0.500
Zn: 0.250 0.250 0.250
Zn: 0.000 0.000 0.000

Summary:
Mass density, Mg/m³: 10.5
Calculated formation energy, eV per atom: -0.598
Raw total energy, eV/atom: -4.881
Magnetic moment, Bohr magnetons per cell: 0.00

Record 2
# Na4CdIn2Pd

An optimized crystal structure of Na4CdIn2Pd (PBE-GGA, OQMD).

abc: 5.001 5.001 7.217
angles: 90.00 90.00 90.00
Sites, in units of the cell vectors:
Pd: 0.500 0.500 0.500
Na: 0.500 0.000 0.264
Na: 0.000 0.500 0.736
Na: 0.500 0.500 0.000
Na: 0.000 0.000 0.500
Cd: 0.000 0.000 0.000
In: 0.000 0.500 0.269
In: 0.500 0.000 0.731

Summary:
Mass density, Mg/m³: 5.0
Raw total energy, eV/atom: -2.254

Record 3
# NbPtNO

An optimized crystal structure of NbPtNO (PBE-GGA, OQMD).

abc: 3.397 5.688 5.564
angles: 90.00 90.00 90.00
Sites, in units of the cell vectors:
N: 0.000 0.820 0.318
N: 0.000 0.180 0.818
Nb: 0.000 0.854 0.944
Nb: 0.000 0.146 0.444
Pt: 0.500 0.245 0.057
Pt: 0.500 0.755 0.557
O: 0.500 0.661 0.935
O: 0.500 0.339 0.435

Summary:
ΔE to the lowest computed polymorph, kcal/mol of atoms: 7.55
Mass density, Mg/m³: 9.8
Raw total energy, eV/atom: -8.042
Magnetic moment, Bohr magnetons per cell: 0.00

> Which value of raw total energy does entry 3 give?

-8.042 eV/atom

> Which formula does entry 1 have?

ZrZn2Pt

> Number 1 is which compound?

ZrZn2Pt